A plane-wave DFT calculation with PBE-GGA was carried out for HoTm2Pb after structural relaxation.

Its calculated formation energy is -1.1 eV per formula unit. The raw total energy comes out at -4.59 eV per atom. For the density of states at the Fermi level, the calculation gives 0.965 states/eV per atom. The calculation puts the energy above the lowest structure with this stoichiometry at 0.000 eV/f.u. Its density is 9.94 g/cm3. The calculation puts the total magnetic moment at 0.0 μB per cell.

The space group is Cmcm (No. 63) and the conventional cell measures 4.5942, 22.1987 and 4.6526 Å, with angles of 90.00, 90.00 and 90.00 degrees. Symmetry generates all atoms from Ho at (0.0000, 0.1906, 0.2500), Tm at (0.0000, 0.0579, 0.7500), Tm at (0.0000, 0.4378, 0.7500) and Pb at (0.0000, 0.3326, 0.2500).